The following is a GGA-PBE calculation of a geometry-optimized Tb2Pm2NdTm structure, from the Alexandria database.

Output
E_tot in Ha/atom: -0.1693
Calculated formation energy in eV per atom: 0.061
Mass density in g/cm³: 7.776
DOS(E_F) in states/eV/atom: 1.5460

a = 5.676 Å, b = 7.046 Å, c = 9.835 Å
α = 90.00°, β = 90.00°, γ = 90.00°
Fractional coordinates of all 12 atoms:
Pm 0.000 0.758 0.823
Pm 0.000 0.258 0.177
Pm 0.500 0.008 0.000
Pm 0.500 0.508 0.000
Tb 0.500 0.758 0.672
Tb 0.000 0.258 0.837
Tb 0.000 0.758 0.163
Tb 0.500 0.258 0.328
Nd 0.500 0.258 0.656
Nd 0.500 0.758 0.344
Tm 0.000 0.008 0.500
Tm 0.000 0.508 0.500